Compound: Ni8Ge2Sb
Source: the Alexandria database
Functional: GGA-PBE
Structure: optimized geometry

Its mass density is 9.0 g/cm³. For the formation energy without anion corrections, the calculation gives -202.4 meV per atom. The calculated total energy comes out at -61.8 eV per formula unit.

The structure belongs to space group C2/m (No. 12); the cell edges are 13.2594, 3.7132 and 5.9014 Å and the angles 90.00°, 110.58° and 90.00°. The inequivalent atoms are Ni at (0.0351, 0.0000, 0.2292), Ni at (0.0933, 0.5000, 0.9683), Ni at (0.1639, 0.0000, 0.7373), Ni at (0.1775, 0.5000, 0.4251), Ge at (0.2035, 0.0000, 0.1699) and Sb at (0.0000, 0.5000, 0.5000).